{"formula": "InFe2Co", "functional": "PBE", "state": "optimized geometry", "formation_energy_mev_per_atom": 369, "volume_a3_per_cell": 57.3, "space_group": "R3m", "rho_kg_m3": 8274, "lattice": [[-4.987, -1.829, 6.424], [-6.415, -3.107, 4.321], [-4.265, -4.456, 5.606]], "species": ["Fe", "Fe", "In", "Co"], "frac_coords": [[0.001, 0.001, 0.001], [0.258, 0.258, 0.258], [0.499, 0.499, 0.499], [0.742, 0.742, 0.742]]}